# 1
Ca3MgCd2 after structural relaxation, computed with PBE.

a = 8.675 Å, b = 8.675 Å, c = 3.852 Å
α = 90.00°, β = 90.00°, γ = 143.01°
Sites, in units of the cell vectors:
Ca1 0.000 0.000 0.000
Ca2 0.328 0.672 0.000
Ca3 0.672 0.328 0.000
Mg1 0.500 0.500 0.500
Cd1 0.161 0.839 0.500
Cd2 0.839 0.161 0.500

Results
Total moment ... 0.00 μB/f.u.
ΔH_f (0 K) ... -0.27 eV per atom
DFT total energy ... -1.840 eV per atom


# 2
CsZn2GeRh after structural relaxation, computed with PBE.

a = 5.103 Å, b = 5.103 Å, c = 4.740 Å
α = 90.00°, β = 90.00°, γ = 90.00°
Sites, in units of the cell vectors:
Cs1 0.000 0.000 0.000
Zn1 0.000 0.500 0.500
Zn2 0.500 0.000 0.500
Ge1 0.500 0.500 0.000
Rh1 0.500 0.500 0.500

Results
Total moment ... 0.00 μB/f.u.
ΔH_f (0 K) ... -0.14 eV per atom
DFT total energy ... -3.216 eV per atom


# 3
Sm2Ni12Ge3Pd after structural relaxation, computed with PBE.

a = 6.382 Å, b = 6.382 Å, c = 6.382 Å
α = 85.10°, β = 85.10°, γ = 85.10°
Sites, in units of the cell vectors:
Sm1 0.176 0.176 0.176
Sm2 0.824 0.824 0.824
Ni1 0.104 0.104 0.616
Ni2 0.104 0.616 0.104
Ni3 0.203 0.694 0.694
Ni4 0.306 0.306 0.797
Ni5 0.306 0.797 0.306
Ni6 0.384 0.896 0.896
Ni7 0.616 0.104 0.104
Ni8 0.694 0.203 0.694
Ni9 0.694 0.694 0.203
Ni10 0.797 0.306 0.306
Ni11 0.896 0.384 0.896
Ni12 0.896 0.896 0.384
Ge1 0.000 0.500 0.500
Ge2 0.500 0.000 0.500
Ge3 0.500 0.500 0.000
Pd1 0.500 0.500 0.500

Results
Total moment ... 0.00 μB/f.u.
ΔH_f (0 K) ... -0.03 eV per atom
DFT total energy ... -5.469 eV per atom


# 4
Pa2VCo3Ge4 after structural relaxation, computed with PBE.

a = 4.003 Å, b = 4.003 Å, c = 10.135 Å
α = 90.00°, β = 90.00°, γ = 90.00°
Sites, in units of the cell vectors:
Pa1 0.000 0.500 0.240
Pa2 0.500 0.000 0.760
V1 0.000 0.000 0.500
Co1 0.000 0.500 0.873
Co2 0.500 0.000 0.127
Co3 0.500 0.500 0.500
Ge1 0.000 0.000 0.000
Ge2 0.000 0.500 0.643
Ge3 0.500 0.000 0.357
Ge4 0.500 0.500 0.000

Results
Total moment ... 1.79 μB/f.u.
ΔH_f (0 K) ... -0.47 eV per atom
DFT total energy ... -7.260 eV per atom


# 5
Tl2TePt after structural relaxation, computed with PBE.

a = 4.280 Å, b = 4.280 Å, c = 5.555 Å
α = 90.00°, β = 90.00°, γ = 90.00°
Sites, in units of the cell vectors:
Tl1 0.000 0.500 0.000
Tl2 0.500 0.000 0.000
Te1 0.000 0.000 0.500
Pt1 0.500 0.500 0.500

Results
Total moment ... 0.00 μB/f.u.
ΔE_f (raw) ... 0.110 eV/atom
DFT total energy ... -3.369 eV per atom


# 6
Pr6Zn2Hg after structural relaxation, computed with PBE.

a = 8.916 Å, b = 8.916 Å, c = 8.916 Å
α = 110.93°, β = 109.19°, γ = 108.30°
Sites, in units of the cell vectors:
Pr1 0.039 0.821 0.218
Pr2 0.248 0.544 0.296
Pr3 0.248 0.952 0.704
Pr4 0.268 0.319 0.586
Pr5 0.268 0.681 0.949
Pr6 0.397 0.179 0.218
Pr7 0.603 0.821 0.782
Pr8 0.732 0.319 0.051
Pr9 0.732 0.681 0.414
Pr10 0.752 0.048 0.296
Pr11 0.752 0.456 0.704
Pr12 0.961 0.179 0.782
Zn1 0.000 0.132 0.132
Zn2 0.000 0.868 0.868
Zn3 0.377 0.377 0.000
Zn4 0.623 0.623 0.000
Hg1 0.000 0.500 0.500
Hg2 0.500 0.000 0.500

Results
Total moment ... 0.00 μB/f.u.
ΔH_f (0 K) ... -0.20 eV per atom
DFT total energy ... -3.700 eV per atom


# 7
BaSrBiTe2 after structural relaxation, computed with PBE.

a = 6.300 Å, b = 6.300 Å, c = 5.966 Å
α = 90.00°, β = 90.00°, γ = 90.00°
Sites, in units of the cell vectors:
Ba1 0.000 0.000 0.000
Sr1 0.500 0.500 0.000
Bi1 0.500 0.500 0.500
Te1 0.000 0.500 0.500
Te2 0.500 0.000 0.500

Results
Total moment ... 0.00 μB/f.u.
ΔE_f (raw) ... -0.409 eV/atom
DFT total energy ... -3.163 eV per atom


# 8
HoThBiAs after structural relaxation, computed with PBE.

a = 7.614 Å, b = 7.614 Å, c = 7.614 Å
α = 32.99°, β = 32.99°, γ = 32.99°
Sites, in units of the cell vectors:
Ho1 0.000 0.000 0.000
Th1 0.482 0.482 0.482
Bi1 0.244 0.244 0.244
As1 0.737 0.737 0.737

Results
Total moment ... 0.00 μB/f.u.
ΔH_f (0 K) ... -1.07 eV per atom
DFT total energy ... -6.198 eV per atom


# 9
Ac6Ge3S2I after structural relaxation, computed with PBE.

a = 10.129 Å, b = 10.129 Å, c = 9.104 Å
α = 101.57°, β = 101.57°, γ = 26.17°
Sites, in units of the cell vectors:
Ac1 0.002 0.002 0.275
Ac2 0.323 0.323 0.912
Ac3 0.334 0.334 0.412
Ac4 0.666 0.666 0.588
Ac5 0.677 0.677 0.088
Ac6 0.998 0.998 0.725
Ge1 0.162 0.162 0.834
Ge2 0.500 0.500 0.500
Ge3 0.838 0.838 0.166
S1 0.169 0.169 0.336
S2 0.831 0.831 0.664
I1 0.500 0.500 0.000

Results
Total moment ... 0.00 μB/f.u.
ΔE_f (raw) ... -1.245 eV/atom
DFT total energy ... -5.271 eV per atom


# 10
Y3ZrRe after structural relaxation, computed with PBE.

a = 5.328 Å, b = 5.328 Å, c = 5.328 Å
α = 90.00°, β = 90.00°, γ = 90.00°
Sites, in units of the cell vectors:
Y1 0.000 0.000 0.500
Y2 0.000 0.500 0.000
Y3 0.500 0.000 0.000
Zr1 0.000 0.000 0.000
Re1 0.500 0.500 0.500

Results
Total moment ... 3.14 μB/f.u.
ΔH_f (0 K) ... 1.55 eV per atom
DFT total energy ... -6.531 eV per atom


# 11
Y2NiTeC after structural relaxation, computed with PBE.

a = 5.094 Å, b = 5.094 Å, c = 3.773 Å
α = 90.00°, β = 90.00°, γ = 90.00°
Sites, in units of the cell vectors:
Y1 0.000 0.500 0.000
Y2 0.500 0.000 0.000
Ni1 0.000 0.000 0.500
Te1 0.500 0.500 0.500
C1 0.000 0.000 0.000

Results
Total moment ... 0.00 μB/f.u.
ΔE_f (raw) ... -0.655 eV/atom
DFT total energy ... -6.870 eV per atom


# 12
LiCrP2Cl after structural relaxation, computed with PBE.

a = 4.311 Å, b = 4.311 Å, c = 5.530 Å
α = 90.00°, β = 90.00°, γ = 90.00°
Sites, in units of the cell vectors:
Li1 0.000 0.000 0.000
Cr1 0.500 0.500 0.500
P1 0.000 0.500 0.500
P2 0.500 0.000 0.500
Cl1 0.500 0.500 0.000

Results
Total moment ... 0.70 μB/f.u.
ΔE_f (raw) ... -0.146 eV/atom
DFT total energy ... -4.986 eV per atom


# 13
Ta8VC4S8 after structural relaxation, computed with PBE.

a = 9.436 Å, b = 9.436 Å, c = 9.436 Å
α = 41.08°, β = 41.08°, γ = 41.08°
Sites, in units of the cell vectors:
Ta1 0.121 0.622 0.622
Ta2 0.122 0.122 0.122
Ta3 0.378 0.378 0.879
Ta4 0.378 0.879 0.378
Ta5 0.622 0.121 0.622
Ta6 0.622 0.622 0.121
Ta7 0.878 0.878 0.878
Ta8 0.879 0.378 0.378
V1 0.000 0.000 0.000
C1 0.000 0.000 0.500
C2 0.000 0.500 0.000
C3 0.500 0.000 0.000
C4 0.500 0.500 0.500
S1 0.225 0.225 0.723
S2 0.225 0.723 0.225
S3 0.274 0.274 0.274
S4 0.277 0.775 0.775
S5 0.723 0.225 0.225
S6 0.726 0.726 0.726
S7 0.775 0.277 0.775
S8 0.775 0.775 0.277

Results
Total moment ... 2.34 μB/f.u.
ΔE_f (raw) ... -0.923 eV/atom
DFT total energy ... -9.202 eV per atom


# 14
CsTa3Mo after structural relaxation, computed with PBE.

a = 4.968 Å, b = 4.968 Å, c = 4.968 Å
α = 90.00°, β = 90.00°, γ = 90.00°
Sites, in units of the cell vectors:
Cs1 0.000 0.000 0.000
Ta1 0.000 0.000 0.500
Ta2 0.000 0.500 0.000
Ta3 0.500 0.000 0.000
Mo1 0.500 0.500 0.500

Results
Total moment ... 1.83 μB/f.u.
ΔH_f (0 K) ... 3.47 eV per atom
DFT total energy ... -5.979 eV per atom


# 15
NdYPuMg after structural relaxation, computed with PBE.

a = 5.528 Å, b = 5.528 Å, c = 5.528 Å
α = 60.00°, β = 60.00°, γ = 60.00°
Sites, in units of the cell vectors:
Nd1 0.000 0.000 0.000
Y1 0.500 0.500 0.500
Pu1 0.750 0.750 0.750
Mg1 0.250 0.250 0.250

Results
Total moment ... 6.31 μB/f.u.
ΔH_f (0 K) ... 0.15 eV per atom
DFT total energy ... -6.637 eV per atom


# 16
AcUNO2 after structural relaxation, computed with PBE.

a = 6.203 Å, b = 6.203 Å, c = 6.203 Å
α = 121.14°, β = 121.14°, γ = 88.04°
Sites, in units of the cell vectors:
Ac1 0.250 0.750 0.500
Ac2 0.750 0.250 0.500
U1 0.000 0.000 0.000
U2 0.500 0.500 0.000
N1 0.250 0.250 0.000
N2 0.750 0.750 0.000
O1 0.165 0.665 0.830
O2 0.335 0.165 0.500
O3 0.665 0.835 0.500
O4 0.835 0.335 0.170

Results
Total moment ... 1.97 μB/f.u.
ΔE_f (raw) ... -2.494 eV/atom
DFT total energy ... -9.222 eV per atom


# 17
PmHoGaPt after structural relaxation, computed with PBE.

a = 4.377 Å, b = 5.917 Å, c = 5.917 Å
α = 38.08°, β = 90.00°, γ = 90.00°
Sites, in units of the cell vectors:
Pm1 0.000 0.000 0.000
Ho1 0.500 0.286 0.286
Ga1 0.500 0.575 0.575
Pt1 0.000 0.727 0.727

Results
Total moment ... 0.00 μB/f.u.
ΔH_f (0 K) ... -0.90 eV per atom
DFT total energy ... -5.503 eV per atom


# 18
Mg2InTe after structural relaxation, computed with PBE.

a = 5.335 Å, b = 5.335 Å, c = 5.335 Å
α = 60.00°, β = 60.00°, γ = 60.00°
Sites, in units of the cell vectors:
Mg1 0.000 0.000 0.000
Mg2 0.250 0.250 0.250
In1 0.750 0.750 0.750
Te1 0.500 0.500 0.500

Results
Total moment ... 0.00 μB/f.u.
ΔE_f (raw) ... 0.012 eV/atom
DFT total energy ... -2.255 eV per atom


# 19
TlCu2Ru after structural relaxation, computed with PBE.

a = 4.401 Å, b = 4.401 Å, c = 4.401 Å
α = 60.00°, β = 60.00°, γ = 60.00°
Sites, in units of the cell vectors:
Tl1 0.000 0.000 0.000
Cu1 0.250 0.250 0.250
Cu2 0.750 0.750 0.750
Ru1 0.500 0.500 0.500

Results
Total moment ... 0.00 μB/f.u.
ΔH_f (0 K) ... 0.46 eV per atom
DFT total energy ... -4.495 eV per atom


# 20
TaZnHg2 after structural relaxation, computed with PBE.

a = 5.827 Å, b = 5.827 Å, c = 5.393 Å
α = 116.53°, β = 116.53°, γ = 28.57°
Sites, in units of the cell vectors:
Ta1 0.000 0.000 0.000
Zn1 0.276 0.276 0.602
Hg1 0.515 0.515 0.498
Hg2 0.748 0.748 0.077

Results
Total moment ... 0.00 μB/f.u.
ΔH_f (0 K) ... 0.33 eV per atom
DFT total energy ... -3.102 eV per atom